1.
The following is a GGA-PBE calculation of an optimized crystal structure of Li2CaFe, from Alexandria.

Energy above the lowest structure with this stoichiometry (meV/atom): 37
Electronic total energy (eV per atom): -3.184
ΔH_f (0 K) (kJ/mol of formula units): 150

```
4
Lattice="6.0331 0.0544 0.0162 5.1789 3.0953 0.0162 1.9953 0.5605 4.5503" Properties=species:S:1:pos:R:3 pbc="T T T"
Ca 3.3018 0.9276 1.1457
Fe 9.9055 2.7827 3.4371
Li 2.3269 0.6537 4.3820
Li 6.2720 1.7619 2.4597
```


2.
The following is a GGA-PBE calculation of an optimized crystal structure of Ac2TlGa3Pt4, from Alexandria.

Electronic total energy (eV per atom): -5.231
ΔH_f (0 K) (kJ/mol of formula units): -819

```
10
Lattice="4.4298 0.0000 0.0000 0.0000 4.4298 0.0000 0.0000 0.0000 11.1441" Properties=species:S:1:pos:R:3 pbc="T T T"
Ac 2.2149 0.0000 2.6848
Ac 0.0000 2.2149 8.4593
Tl 2.2149 2.2149 5.5720
Ga 0.0000 0.0000 5.5720
Ga 2.2149 0.0000 9.8511
Ga 0.0000 2.2149 1.2929
Pt 2.2149 2.2149 0.0000
Pt 0.0000 0.0000 0.0000
Pt 2.2149 0.0000 7.3242
Pt 0.0000 2.2149 3.8199
```


3.
The following is a GGA-PBE calculation of an optimized crystal structure of AcSmBi2, from Alexandria.

Energy above the lowest structure with this stoichiometry (meV/atom): 39
Electronic total energy (eV per atom): -5.061
ΔH_f (0 K) (kJ/mol of formula units): -353

```
8
Lattice="-3.5150 2.7983 -1.3635 1.7213 -3.2169 -2.9553 -10.3180 -10.3824 5.2917" Properties=species:S:1:pos:R:3 pbc="T T T"
Ac -4.3491 -1.8024 -0.5712
Ac -7.7626 -8.9986 1.5441
Sm -5.1590 -5.1912 2.6459
Sm 0.0000 0.0000 0.0000
Bi -4.0009 -5.2134 -0.3852
Bi -10.9053 -8.3995 2.7913
Bi -8.1108 -5.5876 1.3581
Bi -1.2064 -2.4014 -1.8184
```


4.
The following is a GGA-PBE calculation of an optimized crystal structure of La2Pm2DyY4, from Alexandria.

Electronic total energy (eV per atom): -5.534
ΔH_f (0 K) (kJ/mol of formula units): 1

```
9
Lattice="3.6602 0.0000 0.0000 -1.8301 9.4673 -0.4899 0.0000 -3.7563 8.9572" Properties=species:S:1:pos:R:3 pbc="T T T"
La 0.0000 6.3447 -0.3204
La 1.8301 -0.6336 8.7877
Pm 1.8301 5.4115 2.6646
Pm 0.0000 0.2995 5.8027
Dy 0.0000 0.0000 0.0000
Y 1.8301 3.4698 5.6344
Y 0.0000 2.2413 2.8329
Y 1.8301 -0.8716 2.9702
Y 0.0000 6.5826 5.4971
```